(1)
# LaLu2, optimized geometry, DFT GGA-PBE
data_LaLu2
_cell_length_a 3.9945
_cell_length_b 3.9945
_cell_length_c 12.2095
_cell_angle_alpha 90.00
_cell_angle_beta 90.00
_cell_angle_gamma 90.00
_symmetry_space_group_name_H-M 'I 4/m m m'
_symmetry_Int_Tables_number 139
_symmetry_space_group_name_Hall '-I 4 2'
loop_
_atom_site_label
_atom_site_fract_x
_atom_site_fract_y
_atom_site_fract_z
La1 0.0000 0.0000 0.0000
Lu1 0.0000 0.0000 0.3239
# * formation energy from the elements: 0.083 eV/atom

---

(2)
# Si2HF, optimized geometry, DFT GGA-PBE
data_Si2HF
_cell_length_a 4.6914
_cell_length_b 4.6914
_cell_length_c 9.3962
_cell_angle_alpha 90.00
_cell_angle_beta 90.00
_cell_angle_gamma 90.00
_symmetry_space_group_name_H-M 'I -4 2 d'
_symmetry_Int_Tables_number 122
_symmetry_space_group_name_Hall 'I -4 2bw'
loop_
_atom_site_label
_atom_site_fract_x
_atom_site_fract_y
_atom_site_fract_z
Si1 0.1473 0.2500 0.1250
H1 0.0000 0.0000 0.0000
F1 0.0000 0.0000 0.5000
# * electronic total energy: -3.860 eV/atom

---

(3)
# LaTa2Ag, optimized geometry, DFT GGA-PBE
data_LaTa2Ag
_cell_length_a 3.0995
_cell_length_b 5.1673
_cell_length_c 10.9077
_cell_angle_alpha 90.00
_cell_angle_beta 90.00
_cell_angle_gamma 90.00
_symmetry_space_group_name_H-M 'I m m m'
_symmetry_Int_Tables_number 71
_symmetry_space_group_name_Hall '-I 2 2'
loop_
_atom_site_label
_atom_site_fract_x
_atom_site_fract_y
_atom_site_fract_z
La1 0.0000 0.0000 0.0000
Ta1 0.0000 0.5000 0.2316
Ag1 0.0000 0.0000 0.5000
# * formation energy from the elements: 0.460 eV/atom

---

| no. | ρ (Mg/m³) |
| --- | --- |
| 1 | 8.3 |
| 2 | 2.4 |
| 3 | 11.6 |